5
Lattice="5.220 0.000 0.000 0.000 5.220 0.000 0.000 0.000 4.705" Properties=species:S:1:pos:R:3 comment="SiSb2IrCl, optimized geometry, DFT PBE" e_tot_ev_per_atom=-4.238 sg=P4/mmm formation_energy_uncorrected_ev_per_atom=0.64 pbc="T T T"
Si 0.000 0.000 0.000
Sb 0.000 2.610 2.352
Sb 2.610 0.000 2.352
Ir 2.610 2.610 2.352
Cl 2.610 2.610 0.000

4
Lattice="-1.959 1.959 4.225 1.959 -1.959 4.225 1.959 1.959 -4.225" Properties=species:S:1:pos:R:3 comment="Mo2PtCl, optimized geometry, DFT PBE" e_tot_ev_per_atom=-6.593 sg=I-4m2 formation_energy_uncorrected_ev_per_atom=0.79 pbc="T T T"
Mo 0.000 0.000 0.000
Mo 0.000 1.959 2.112
Pt 1.959 0.000 2.112
Cl 0.000 0.000 4.225

9
Lattice="3.578 2.066 9.916 -3.578 2.066 9.916 0.000 -4.132 9.916" Properties=species:S:1:pos:R:3 comment="P2HBr6, optimized geometry, DFT PBE" e_tot_ev_per_atom=-2.778 sg=R3 pbc="T T T"
P 0.000 0.000 0.000
P 0.000 0.000 3.937
H 0.000 0.000 14.593
Br -1.558 -2.067 18.841
Br -1.752 0.999 14.819
Br 0.010 -2.017 14.819
Br -1.011 2.383 18.841
Br 1.741 1.017 14.819
Br 2.569 -0.316 18.841

4
Lattice="0.000 3.249 3.249 3.249 0.000 3.249 3.249 3.249 0.000" Properties=species:S:1:pos:R:3 comment="Re2HgSe, optimized geometry, DFT PBE" e_tot_ev_per_atom=-6.100 sg=F-43m formation_energy_uncorrected_ev_per_atom=1.07 pbc="T T T"
Re 0.000 0.000 0.000
Re 1.625 1.625 1.625
Hg 3.249 3.249 3.249
Se 4.874 4.874 4.874

17
Lattice="-4.308 4.308 4.308 4.308 -4.308 4.308 4.308 4.308 -4.308" Properties=species:S:1:pos:R:3 comment="Sm4AgPd12, optimized geometry, DFT PBE" e_tot_ev_per_atom=-5.662 sg=Im-3m delta_e_f_ev_per_atom=-0.719 pbc="T T T"
Sm 2.154 2.154 -2.154
Sm 2.154 -2.154 2.154
Sm -2.154 2.154 2.154
Sm 2.154 2.154 2.154
Ag 0.000 0.000 0.000
Pd 2.608 0.000 0.000
Pd 6.008 0.000 0.000
Pd 4.308 2.154 0.000
Pd 4.308 0.000 2.154
Pd 0.000 2.608 0.000
Pd 0.000 0.000 2.608
Pd 2.154 4.308 0.000
Pd 2.154 0.000 4.308
Pd 0.000 6.008 0.000
Pd 0.000 0.000 6.008
Pd 0.000 4.308 2.154
Pd 0.000 2.154 4.308

5
Lattice="4.821 0.000 0.000 0.000 4.821 0.000 0.000 0.000 4.777" Properties=species:S:1:pos:R:3 comment="NaBeP2S, optimized geometry, DFT PBE" e_tot_ev_per_atom=-2.313 sg=P4/mmm formation_energy_uncorrected_ev_per_atom=1.69 pbc="T T T"
Na 0.000 0.000 0.000
Be 2.410 2.410 2.388
P 0.000 2.410 0.000
P 2.410 0.000 0.000
S 0.000 0.000 2.388

8
Lattice="-3.884 3.884 2.850 3.884 -3.884 2.850 3.884 3.884 -2.850" Properties=species:S:1:pos:R:3 comment="Hf2MgOs, optimized geometry, DFT PBE" e_tot_ev_per_atom=-7.944 sg=I-42d delta_e_f_ev_per_atom=0.239 pbc="T T T"
Hf 1.942 1.532 -0.713
Hf 2.352 -1.942 3.563
Hf 1.942 2.352 2.138
Hf 1.532 5.826 0.713
Mg 3.884 0.000 1.425
Mg 0.000 0.000 2.850
Os 0.000 0.000 0.000
Os 0.000 3.884 1.425

14
Lattice="6.733 0.000 0.000 0.000 6.633 0.000 -3.158 0.000 8.812" Properties=species:S:1:pos:R:3 comment="Er4Bi2P, optimized geometry, DFT PBE" e_tot_ev_per_atom=-5.181 sg=P2_1/m delta_e_f_ev_per_atom=-0.692 pbc="T T T"
Er -0.797 0.021 2.249
Er -0.797 3.296 2.249
Er 2.492 4.974 0.592
Er 0.830 4.974 5.585
Er 2.745 1.658 3.227
Er 1.083 1.658 8.220
Er 4.373 3.337 6.562
Er 4.373 6.612 6.562
Bi -0.384 1.658 4.861
Bi 1.220 1.658 0.412
Bi 2.355 4.974 8.400
Bi 3.959 4.974 3.951
P 1.183 4.974 2.927
P 2.392 1.658 5.885